Entry 1:
Computed, not measured: a geometry-optimized Sc2MnSi structure at the PBE level of DFT.

Output
Magnetic moment: 2.101 μB per cell
Raw formation energy: -281 meV per atom
DOS at the Fermi energy: 1.23 states/eV per atom
V: 70.6 Å³ per cell

Cell lengths 5.4119, 5.4119, 5.4119 Å; angles 141.82, 133.22, 61.91 degrees
Positions (direct):
Sc 0.0000 0.0000 0.0000
Sc 0.7281 0.2281 0.5000
Mn 0.4553 0.4553 0.0000
Si 0.2677 0.7677 0.5000


Entry 2:
Computed, not measured: a geometry-optimized Sc3MnSi structure at the PBE level of DFT.

Output
Magnetic moment: 0.003 μB per cell
Distance to the lowest polymorph of the same formula: 209 kJ/mol of formula units
Raw formation energy: 658 meV per atom
DOS at the Fermi energy: 1.28 states/eV per atom
V: 121.2 Å³ per cell

Cell lengths 4.9493, 4.9493, 4.9493 Å; angles 90.00, 90.00, 90.00 degrees
Positions (direct):
Sc 0.0000 0.0000 0.5000
Sc 0.0000 0.5000 0.0000
Sc 0.5000 0.0000 0.0000
Mn 0.5000 0.5000 0.5000
Si 0.0000 0.0000 0.0000


Entry 3:
Computed, not measured: a geometry-optimized Sc2MnSi structure at the PBE level of DFT.

Output
Magnetic moment: 4.776 μB per cell
Raw formation energy: 161 meV per atom
DOS at the Fermi energy: 1.04 states/eV per atom
V: 152.8 Å³ per cell

Cell lengths 5.9196, 5.9196, 5.9196 Å; angles 103.10, 103.10, 123.13 degrees
Positions (direct):
Sc 0.1202 0.1250 0.4952
Sc 0.3750 0.8798 0.0048
Sc 0.6298 0.6250 0.5048
Sc 0.8750 0.3703 0.9952
Mn 0.2500 0.7500 0.5000
Mn 0.5000 0.5000 0.0000
Si 0.0000 0.0000 0.0000
Si 0.7500 0.2500 0.5000


Entry 4:
Computed, not measured: a geometry-optimized ScMn2Si3 structure at the PBE level of DFT.

Output
Magnetic moment: 3.877 μB per cell
Raw formation energy: -448 meV per atom
DOS at the Fermi energy: 0.60 states/eV per atom
V: 168.6 Å³ per cell

Cell lengths 5.8007, 5.8007, 5.1149 Å; angles 90.00, 90.00, 78.45 degrees
Positions (direct):
Sc 0.1543 0.8457 0.7500
Sc 0.8457 0.1543 0.2500
Mn 0.2852 0.2852 0.0000
Mn 0.2852 0.2852 0.5000
Mn 0.7148 0.7148 0.0000
Mn 0.7148 0.7148 0.5000
Si 0.0493 0.6172 0.2500
Si 0.3828 0.9507 0.2500
Si 0.4658 0.5342 0.2500
Si 0.5342 0.4658 0.7500
Si 0.6172 0.0493 0.7500
Si 0.9507 0.3828 0.7500


Entry 5:
Computed, not measured: a geometry-optimized Sc4MnSi structure at the PBE level of DFT.

Output
Magnetic moment: 3.542 μB per cell
Raw formation energy: 491 meV per atom
DOS at the Fermi energy: 1.44 states/eV per atom
V: 127.0 Å³ per cell

Cell lengths 5.6421, 5.6421, 5.6421 Å; angles 60.00, 60.00, 60.00 degrees
Positions (direct):
Sc 0.1254 0.1254 0.1254
Sc 0.1254 0.1254 0.6238
Sc 0.1254 0.6238 0.1254
Sc 0.6238 0.1254 0.1254
Mn 0.5000 0.5000 0.5000
Si 0.7500 0.7500 0.7500


Entry 6:
Computed, not measured: a geometry-optimized ScMn3Si structure at the PBE level of DFT.

Output
Magnetic moment: 6.892 μB per cell
Distance to the lowest polymorph of the same formula: 0 kJ/mol of formula units
Raw formation energy: 305 meV per atom
DOS at the Fermi energy: 1.42 states/eV per atom
V: 83.5 Å³ per cell

Cell lengths 4.3710, 4.3710, 4.3710 Å; angles 90.00, 90.00, 90.00 degrees
Positions (direct):
Sc 0.0000 0.0000 0.0000
Mn 0.0000 0.5000 0.5000
Mn 0.5000 0.0000 0.5000
Mn 0.5000 0.5000 0.0000
Si 0.5000 0.5000 0.5000


Entry 7:
Computed, not measured: a geometry-optimized Sc2MnSi structure at the PBE level of DFT.

Output
Magnetic moment: 1.118 μB per cell
Raw formation energy: -17 meV per atom
DOS at the Fermi energy: 0.58 states/eV per atom
V: 76.9 Å³ per cell

Cell lengths 8.3073, 8.3073, 8.3073 Å; angles 23.01, 23.01, 23.01 degrees
Positions (direct):
Sc 0.0000 0.0000 0.0000
Sc 0.2153 0.2153 0.2153
Mn 0.7512 0.7512 0.7512
Si 0.4704 0.4704 0.4704


Entry 8:
Computed, not measured: a geometry-optimized Sc2Mn12Si7 structure at the PBE level of DFT.

Output
Magnetic moment: 23.335 μB per cell
Raw formation energy: -419 meV per atom
DOS at the Fermi energy: 0.55 states/eV per atom
V: 277.5 Å³ per cell

Cell lengths 9.6709, 9.6709, 3.4264 Å; angles 90.00, 90.00, 120.00 degrees
Positions (direct):
Sc 0.0000 0.0000 0.0000
Sc 0.3333 0.6667 0.5000
Mn 0.0493 0.2829 0.5000
Mn 0.1017 0.7180 0.0000
Mn 0.2335 0.9507 0.5000
Mn 0.2820 0.3837 0.0000
Mn 0.3882 0.1730 0.0000
Mn 0.5331 0.4270 0.5000
Mn 0.5730 0.1061 0.5000
Mn 0.6163 0.8983 0.0000
Mn 0.7171 0.7665 0.5000
Mn 0.7848 0.6118 0.0000
Mn 0.8270 0.2152 0.0000
Mn 0.8939 0.4669 0.5000
Si 0.0807 0.4639 0.0000
Si 0.2425 0.2024 0.5000
Si 0.3832 0.9193 0.0000
Si 0.5361 0.6168 0.0000
Si 0.6667 0.3333 0.0000
Si 0.7976 0.0401 0.5000
Si 0.9599 0.7575 0.5000


Entry 9:
Computed, not measured: a geometry-optimized Sc2MnSi structure at the PBE level of DFT.

Output
Magnetic moment: 2.275 μB per cell
Raw formation energy: -321 meV per atom
DOS at the Fermi energy: 1.15 states/eV per atom
V: 69.4 Å³ per cell

Cell lengths 4.2870, 4.2870, 3.7737 Å; angles 90.00, 90.00, 90.00 degrees
Positions (direct):
Sc 0.0000 0.5000 0.0000
Sc 0.5000 0.0000 0.0000
Mn 0.0000 0.0000 0.5000
Si 0.5000 0.5000 0.5000


Entry 10:
Computed, not measured: a geometry-optimized ScMnSi2Tc structure at the PBE level of DFT.

Output
Magnetic moment: 2.614 μB per cell
Raw formation energy: -570 meV per atom
DOS at the Fermi energy: 0.77 states/eV per atom
V: 78.4 Å³ per cell

Cell lengths 5.8519, 5.8519, 5.8519 Å; angles 141.12, 141.12, 56.16 degrees
Positions (direct):
Sc 0.0000 0.0000 0.0000
Mn 0.2500 0.7500 0.5000
Si 0.3863 0.3863 0.0000
Si 0.6137 0.6137 0.0000
Tc 0.7500 0.2500 0.5000


Entry 11:
Computed, not measured: a geometry-optimized Sc2MnSiTc structure at the PBE level of DFT.

Output
Magnetic moment: 0.000 μB per cell
Raw formation energy: 415 meV per atom
DOS at the Fermi energy: 0.94 states/eV per atom
V: 97.1 Å³ per cell

Cell lengths 4.7523, 4.7523, 4.2995 Å; angles 90.00, 90.00, 90.00 degrees
Positions (direct):
Sc 0.0000 0.5000 0.0000
Sc 0.5000 0.0000 0.0000
Mn 0.0000 0.0000 0.0000
Si 0.5000 0.5000 0.5000
Tc 0.0000 0.0000 0.5000


Entry 12:
Computed, not measured: a geometry-optimized ThScMnSi2 structure at the PBE level of DFT.

Output
Magnetic moment: 1.914 μB per cell
Raw formation energy: -589 meV per atom
DOS at the Fermi energy: 0.80 states/eV per atom
V: 95.9 Å³ per cell

Cell lengths 6.3436, 6.3436, 6.3436 Å; angles 142.03, 142.03, 54.78 degrees
Positions (direct):
Th 0.0000 0.0000 0.0000
Sc 0.7500 0.2500 0.5000
Mn 0.2500 0.7500 0.5000
Si 0.3927 0.3927 0.0000
Si 0.6073 0.6073 0.0000


What is the magnetic moment in the seventh record?
1.118 μB per cell


What did the ninth record say?
Computed, not measured: a geometry-optimized Sc2MnSi structure at the PBE level of DFT.

Output
Magnetic moment: 2.275 μB per cell
Raw formation energy: -321 meV per atom
DOS at the Fermi energy: 1.15 states/eV per atom
V: 69.4 Å³ per cell

Cell lengths 4.2870, 4.2870, 3.7737 Å; angles 90.00, 90.00, 90.00 degrees
Positions (direct):
Sc 0.0000 0.5000 0.0000
Sc 0.5000 0.0000 0.0000
Mn 0.0000 0.0000 0.5000
Si 0.5000 0.5000 0.5000


Which value of V does entry 5 give?
127.0 Å³ per cell